1.
A geometry-optimized Tl3TcS structure, computed with PBE-GGA.

Cell lengths 5.5099, 5.5099, 5.5099 Å; angles 90.00, 90.00, 90.00 degrees
Closest atoms and distances in Å follow each position.
Positions (direct):
Tl  0.0000  0.0000  0.5000  2 S 2.75
Tl  0.0000  0.5000  0.0000  2 S 2.75
Tl  0.5000  0.0000  0.0000  2 S 2.75
Tc  0.5000  0.5000  0.5000  12 Tl 3.90
S  0.0000  0.0000  0.0000  6 Tl 2.75

formation energy without anion corrections: 530 kJ/mol of formula units


2.
A geometry-optimized SrRe2Ni structure, computed with PBE-GGA.

Cell lengths 3.7661, 3.7661, 5.0629 Å; angles 90.00, 90.00, 90.00 degrees
Closest atoms and distances in Å follow each position.
Positions (direct):
Sr  0.0000  0.0000  0.0000  4 Ni 2.66
Re  0.0000  0.5000  0.5000  4 Re 2.66
Re  0.5000  0.0000  0.5000  4 Re 2.66
Ni  0.5000  0.5000  0.0000  4 Sr 2.66

calculated formation energy: 994 meV per atom